Record 1
NbSnSeN2 (PBE-GGA, optimized geometry); energy relative to the elements, uncorrected = 1344 meV/atom; raw total energy = -5.497 eV/atom; E above lowest polymorph = 1209.8 meV per atom; magnetic moment = 0.011 μB/f.u.
1.0
-1.107 2.911 2.567
0.766 -2.453 3.112
4.985 1.756 0.158
Nb N Se Sn
1 2 1 1
Cartesian
2.322 1.107 2.919
-0.553 1.456 1.284
0.383 -1.227 1.556
2.492 0.878 0.079
0.000 0.000 0.000



Record 2
La2TbTm2Cd5 (PBE-GGA, optimized geometry); raw total energy = -3.013 eV/atom; calculated formation energy = -0.212 eV per atom; magnetic moment = 0.000 μB/f.u.
1.0
4.761 0.000 0.000
0.000 10.720 0.000
0.000 0.000 10.720
Tm Cd La Tb
4 10 4 2
Cartesian
0.000 1.309 6.669
0.000 6.669 9.411
0.000 9.411 4.051
0.000 4.051 1.309
2.381 4.636 3.253
2.381 9.996 2.107
2.381 0.000 5.360
2.381 8.613 9.996
2.381 5.360 0.000
2.381 6.083 7.467
2.381 7.467 4.636
2.381 2.107 0.723
2.381 3.253 6.083
2.381 0.723 8.613
0.000 8.835 7.245
0.000 1.885 3.475
0.000 7.245 1.885
0.000 3.475 8.835
0.000 5.360 5.360
0.000 0.000 0.000